# GGA-PBE Sc6TlHg3, optimized geometry
# formation energy = -0.3131 eV per atom
# crystal system = monoclinic
# total magnetic moment = 2.73 μB per cell
data_Sc6TlHg3
_chemical_formula_sum 'Sc12 Tl2 Hg6'
_cell_length_a 8.867
_cell_length_b 4.912
_cell_length_c 10.776
_cell_angle_alpha 90.00
_cell_angle_beta 105.28
_cell_angle_gamma 90.00
_space_group_name_H-M_alt 'P 1 21/m 1'
_space_group_IT_number 11
loop_
_space_group_symop_operation_xyz
'x,y,z'
'-x,-y,-z'
'-x,y+1/2,-z'
'x,-y+1/2,z'
loop_
_atom_site_label
_atom_site_type_symbol
_atom_site_fract_x
_atom_site_fract_y
_atom_site_fract_z
_atom_site_occupancy
Sc1 Sc 0.049 0.250 0.409 1
Sc2 Sc 0.143 0.750 0.179 1
Sc3 Sc 0.251 0.250 0.997 1
Sc4 Sc 0.332 0.750 0.801 1
Sc5 Sc 0.362 0.250 0.306 1
Sc6 Sc 0.402 0.250 0.601 1
Tl1 Tl 0.448 0.750 0.118 1
Hg1 Hg 0.026 0.750 0.879 1
Hg2 Hg 0.127 0.250 0.706 1
Hg3 Hg 0.280 0.750 0.466 1